Entry 1:
An optimized crystal structure of DyMgCoHg, computed with GGA-PBE.

Magnetic moment, Bohr magnetons per cell: 1.2
E_tot, eV/cell: -14.0
Crystal system: cubic
SG: No. 216

```
data_DyMgCoHg
_chemical_formula_sum 'Dy1 Mg1 Co1 Hg1'
_space_group_name_H-M_alt 'P 1'
_space_group_IT_number 1
_cell_length_a 4.8533
_cell_length_b 4.8533
_cell_length_c 4.8533
_cell_angle_alpha 60.00
_cell_angle_beta 60.00
_cell_angle_gamma 60.00
loop_
_space_group_symop_operation_xyz
'x,y,z'
loop_
_atom_site_label
_atom_site_fract_x
_atom_site_fract_y
_atom_site_fract_z
_atom_site_occupancy
Hg1 0.7500 0.7500 0.7500 1
Mg1 0.5000 0.5000 0.5000 1
Co1 0.2500 0.2500 0.2500 1
Dy1 0.0000 0.0000 0.0000 1
```

Entry 2:
An optimized crystal structure of NdDyCoHg, computed with GGA-PBE.

Magnetic moment, Bohr magnetons per cell: 0.5
E_tot, eV/cell: -17.4
Crystal system: cubic
SG: No. 216

```
data_NdDyCoHg
_chemical_formula_sum 'Nd1 Dy1 Co1 Hg1'
_space_group_name_H-M_alt 'P 1'
_space_group_IT_number 1
_cell_length_a 5.1178
_cell_length_b 5.1178
_cell_length_c 5.1178
_cell_angle_alpha 60.00
_cell_angle_beta 60.00
_cell_angle_gamma 60.00
loop_
_space_group_symop_operation_xyz
'x,y,z'
loop_
_atom_site_label
_atom_site_fract_x
_atom_site_fract_y
_atom_site_fract_z
_atom_site_occupancy
Nd1 0.7500 0.7500 0.7500 1
Dy1 0.2500 0.2500 0.2500 1
Co1 0.5000 0.5000 0.5000 1
Hg1 0.0000 0.0000 0.0000 1
```

Entry 3:
An optimized crystal structure of PmDyCoHg, computed with GGA-PBE.

Magnetic moment, Bohr magnetons per cell: 0.5
E_tot, eV/cell: -17.5
Crystal system: cubic
SG: No. 216

```
data_PmDyCoHg
_chemical_formula_sum 'Pm1 Dy1 Co1 Hg1'
_space_group_name_H-M_alt 'P 1'
_space_group_IT_number 1
_cell_length_a 5.0976
_cell_length_b 5.0976
_cell_length_c 5.0976
_cell_angle_alpha 60.00
_cell_angle_beta 60.00
_cell_angle_gamma 60.00
loop_
_space_group_symop_operation_xyz
'x,y,z'
loop_
_atom_site_label
_atom_site_fract_x
_atom_site_fract_y
_atom_site_fract_z
_atom_site_occupancy
Dy1 0.0000 0.0000 0.0000 1
Pm1 0.5000 0.5000 0.5000 1
Hg1 0.7500 0.7500 0.7500 1
Co1 0.2500 0.2500 0.2500 1
```

Entry 4:
An optimized crystal structure of DyScCoHg, computed with GGA-PBE.

Magnetic moment, Bohr magnetons per cell: 0.6
E_tot, eV/cell: -19.3
Crystal system: cubic
SG: No. 216

```
data_DyScCoHg
_chemical_formula_sum 'Dy1 Sc1 Co1 Hg1'
_space_group_name_H-M_alt 'P 1'
_space_group_IT_number 1
_cell_length_a 4.8875
_cell_length_b 4.8875
_cell_length_c 4.8875
_cell_angle_alpha 60.00
_cell_angle_beta 60.00
_cell_angle_gamma 60.00
loop_
_space_group_symop_operation_xyz
'x,y,z'
loop_
_atom_site_label
_atom_site_fract_x
_atom_site_fract_y
_atom_site_fract_z
_atom_site_occupancy
Co1 0.7500 0.7500 0.7500 1
Dy1 0.5000 0.5000 0.5000 1
Sc1 0.0000 0.0000 0.0000 1
Hg1 0.2500 0.2500 0.2500 1
```

Entry 5:
An optimized crystal structure of DyScCoHg, computed with GGA-PBE.

Magnetic moment, Bohr magnetons per cell: 0.4
E_tot, eV/cell: -19.8
Crystal system: tetragonal
SG: No. 99

```
data_DyScCoHg
_chemical_formula_sum 'Dy1 Sc1 Co1 Hg1'
_space_group_name_H-M_alt 'P 1'
_space_group_IT_number 1
_cell_length_a 3.3229
_cell_length_b 3.3229
_cell_length_c 7.3367
_cell_angle_alpha 90.00
_cell_angle_beta 90.00
_cell_angle_gamma 90.00
loop_
_space_group_symop_operation_xyz
'x,y,z'
loop_
_atom_site_label
_atom_site_fract_x
_atom_site_fract_y
_atom_site_fract_z
_atom_site_occupancy
Co1 0.0000 0.0000 0.5493 1
Hg1 0.0000 0.0000 0.0927 1
Sc1 0.5000 0.5000 0.3559 1
Dy1 0.5000 0.5000 0.7868 1
```

Entry 6:
An optimized crystal structure of SmDyCoHg, computed with GGA-PBE.

Magnetic moment, Bohr magnetons per cell: 0.5
E_tot, eV/cell: -17.5
Crystal system: cubic
SG: No. 216

```
data_SmDyCoHg
_chemical_formula_sum 'Sm1 Dy1 Co1 Hg1'
_space_group_name_H-M_alt 'P 1'
_space_group_IT_number 1
_cell_length_a 5.0836
_cell_length_b 5.0836
_cell_length_c 5.0836
_cell_angle_alpha 60.00
_cell_angle_beta 60.00
_cell_angle_gamma 60.00
loop_
_space_group_symop_operation_xyz
'x,y,z'
loop_
_atom_site_label
_atom_site_fract_x
_atom_site_fract_y
_atom_site_fract_z
_atom_site_occupancy
Hg1 0.2500 0.2500 0.2500 1
Sm1 0.0000 0.0000 0.0000 1
Co1 0.7500 0.7500 0.7500 1
Dy1 0.5000 0.5000 0.5000 1
```